# HoCuPd3, optimized geometry, DFT GGA-PBE
data_HoCuPd3
_cell_length_a 4.412
_cell_length_b 6.154
_cell_length_c 6.447
_cell_angle_alpha 90.00
_cell_angle_beta 90.00
_cell_angle_gamma 90.00
_space_group_name_H-M_alt 'P m m n'
_space_group_IT_number 59
loop_
_space_group_symop_operation_xyz
'x,y,z'
'-x,-y,-z'
'-x+1/2,-y+1/2,z'
'x+1/2,y+1/2,-z'
'x+1/2,-y,-z'
'-x+1/2,y,z'
'-x,y+1/2,-z'
'x,-y+1/2,z'
loop_
_atom_site_label
_atom_site_fract_x
_atom_site_fract_y
_atom_site_fract_z
Ho1 0.250 0.250 0.223
Cu1 0.250 0.750 0.438
Pd1 0.250 0.038 0.717
Pd2 0.250 0.750 0.058
# - electronic total energy (eV per atom) = -5.362
# - volume (Å³ per atom) = 17.502
# - energy above the lowest structure with this stoichiometry (meV per atom) = 0
# - energy of formation (kJ per mole of atoms) = -49.4